An optimized crystal structure of LaScAg, computed with PBE.

```
3
Lattice="3.5057 0.0000 0.0000 -1.7528 3.0360 0.0000 0.0000 0.0000 7.5425" Properties=species:S:1:pos:R:3 pbc="T T T"
La 0.0000 0.0000 0.0000
Sc 1.7528 1.0120 2.8211
Ag 0.0000 2.0240 4.9244
```

Summary:
formation energy from the elements	0.024	eV per atom
space-group type	P3m1, No. 156
theoretical density	6035	kg/m³
size of the total moment	0.31	μB/cell

An optimized crystal structure of La4ScAg, computed with PBE.

```
6
Lattice="3.7684 0.0000 0.0000 0.0000 3.7684 0.0000 0.0000 0.0000 13.3106" Properties=species:S:1:pos:R:3 pbc="T T T"
La 0.0000 0.0000 1.9478
La 0.0000 0.0000 11.3628
La 1.8842 1.8842 4.4699
La 1.8842 1.8842 8.8408
Sc 0.0000 0.0000 6.6553
Ag 1.8842 1.8842 0.0000
```

Summary:
formation energy from the elements	-0.046	eV per atom
space-group type	P4/mmm, No. 123
theoretical density	6224	kg/m³
size of the total moment	0.00	μB/cell

An optimized crystal structure of LaSc2Ag, computed with PBE.

```
4
Lattice="3.4651 0.0000 0.0000 0.0000 4.9591 0.0000 -1.5873 0.0000 5.9682" Properties=species:S:1:pos:R:3 pbc="T T T"
La 0.0000 0.0000 0.0000
Sc 0.0015 2.4795 4.3224
Sc 1.8763 2.4795 1.6458
Ag 0.9389 0.0000 2.9841
```

Summary:
formation energy from the elements	0.019	eV per atom
space-group type	P2/m, No. 10
theoretical density	5451	kg/m³
size of the total moment	0.00	μB/cell

An optimized crystal structure of LaScAg, computed with PBE.

```
6
Lattice="3.5578 0.0000 0.0000 0.0000 3.5578 0.0000 0.0000 0.0000 12.5111" Properties=species:S:1:pos:R:3 pbc="T T T"
La 0.0000 0.0000 0.0000
La 1.7789 1.7789 6.2555
Sc 0.0000 0.0000 3.7348
Sc 1.7789 1.7789 9.9903
Ag 0.0000 0.0000 8.5374
Ag 1.7789 1.7789 2.2819
```

Summary:
formation energy from the elements	-0.130	eV per atom
space-group type	I4mm, No. 107
theoretical density	6118	kg/m³
size of the total moment	0.00	μB/cell

An optimized crystal structure of LaScAg2, computed with PBE.

```
8
Lattice="5.0213 0.0000 0.0000 0.0000 5.0213 0.0000 0.0000 0.0000 7.0706" Properties=species:S:1:pos:R:3 pbc="T T T"
La 0.0000 0.0000 0.0000
La 2.5106 2.5106 3.5353
Sc 0.0000 2.5106 5.3029
Sc 2.5106 0.0000 1.7676
Ag 0.0000 0.0000 3.5353
Ag 0.0000 2.5106 1.7676
Ag 2.5106 0.0000 5.3029
Ag 2.5106 2.5106 0.0000
```

Summary:
formation energy from the elements	-0.081	eV per atom
space-group type	I-4m2, No. 119
theoretical density	7444	kg/m³
size of the total moment	0.00	μB/cell

An optimized crystal structure of LaSc2Ag2, computed with PBE.

```
10
Lattice="8.2713 0.0000 0.0000 0.0000 8.2713 0.0000 0.0000 0.0000 3.5071" Properties=species:S:1:pos:R:3 pbc="T T T"
La 0.0000 0.0000 0.0000
La 4.1357 4.1357 0.0000
Sc 1.3370 2.7987 1.7535
Sc 2.7987 6.9343 1.7535
Sc 5.4726 1.3370 1.7535
Sc 6.9343 5.4726 1.7535
Ag 1.0413 5.1769 0.0000
Ag 3.0944 1.0413 0.0000
Ag 5.1769 7.2300 0.0000
Ag 7.2300 3.0944 0.0000
```

Summary:
formation energy from the elements	-0.128	eV per atom
space-group type	P4/mbm, No. 127
theoretical density	6153	kg/m³
size of the total moment	0.00	μB/cell

An optimized crystal structure of La2ScAg, computed with PBE.

```
16
Lattice="7.7532 0.0000 0.0000 0.0000 7.7532 0.0000 0.0000 0.0000 7.7532" Properties=species:S:1:pos:R:3 pbc="T T T"
La 1.9383 1.9383 1.9383
La 1.9383 1.9383 5.8149
La 1.9383 5.8149 1.9383
La 1.9383 5.8149 5.8149
La 5.8149 1.9383 1.9383
La 5.8149 1.9383 5.8149
La 5.8149 5.8149 1.9383
La 5.8149 5.8149 5.8149
Sc 0.0000 0.0000 0.0000
Sc 0.0000 3.8766 3.8766
Sc 3.8766 0.0000 3.8766
Sc 3.8766 3.8766 0.0000
Ag 0.0000 0.0000 3.8766
Ag 0.0000 3.8766 0.0000
Ag 3.8766 0.0000 0.0000
Ag 3.8766 3.8766 3.8766
```

Summary:
formation energy from the elements	0.034	eV per atom
space-group type	Fm-3m, No. 225
theoretical density	6137	kg/m³
size of the total moment	0.00	μB/cell

An optimized crystal structure of LaScAg2, computed with PBE.

```
16
Lattice="4.7766 0.0000 0.0000 0.0000 4.7766 0.0000 0.0000 0.0000 19.4185" Properties=species:S:1:pos:R:3 pbc="T T T"
La 0.0000 0.0000 0.0000
La 0.0000 2.3883 4.8546
La 2.3883 0.0000 14.5639
La 2.3883 2.3883 9.7093
Sc 0.0000 0.0000 9.7093
Sc 0.0000 2.3883 14.5639
Sc 2.3883 0.0000 4.8546
Sc 2.3883 2.3883 0.0000
Ag 0.7915 1.1941 12.1366
Ag 1.1941 3.1798 16.9912
Ag 1.1941 3.9850 7.2820
Ag 1.5967 1.1941 2.4273
Ag 3.1798 3.5824 2.4273
Ag 3.5824 0.7915 7.2820
Ag 3.5824 1.5967 16.9912
Ag 3.9850 3.5824 12.1366
```

Summary:
formation energy from the elements	0.245	eV per atom
space-group type	I-42d, No. 122
theoretical density	5991	kg/m³
size of the total moment	0.00	μB/cell

An optimized crystal structure of LaSc2Ag, computed with PBE.

```
4
Lattice="4.5832 0.0000 0.0000 0.0000 4.5832 0.0000 0.0000 0.0000 4.8627" Properties=species:S:1:pos:R:3 pbc="T T T"
La 0.0000 0.0000 0.0000
Sc 0.0000 2.2916 2.4313
Sc 2.2916 0.0000 2.4313
Ag 2.2916 2.2916 0.0000
```

Summary:
formation energy from the elements	0.044	eV per atom
space-group type	P4/mmm, No. 123
theoretical density	5473	kg/m³
size of the total moment	1.02	μB/cell

An optimized crystal structure of La3ScAg, computed with PBE.

```
5
Lattice="5.8070 0.0000 0.0000 0.0000 5.8070 0.0000 0.0000 0.0000 5.8070" Properties=species:S:1:pos:R:3 pbc="T T T"
La 0.0000 0.0000 2.9035
La 0.0000 2.9035 0.0000
La 2.9035 0.0000 0.0000
Sc 2.9035 2.9035 2.9035
Ag 0.0000 0.0000 0.0000
```

Summary:
formation energy from the elements	0.418	eV per atom
space-group type	Pm-3m, No. 221
theoretical density	4830	kg/m³
size of the total moment	0.00	μB/cell

An optimized crystal structure of La2ScAg, computed with PBE.

```
8
Lattice="3.8448 0.0000 0.0000 0.0000 5.4545 0.0000 0.0000 0.0000 10.8330" Properties=species:S:1:pos:R:3 pbc="T T T"
La 0.0000 0.0000 2.4969
La 0.0000 0.0000 8.3361
La 1.9224 2.7273 2.9196
La 1.9224 2.7273 7.9134
Sc 0.0000 2.7273 0.0000
Sc 1.9224 0.0000 5.4165
Ag 0.0000 2.7273 5.4165
Ag 1.9224 0.0000 0.0000
```

Summary:
formation energy from the elements	0.014	eV per atom
space-group type	Immm, No. 71
theoretical density	6295	kg/m³
size of the total moment	0.00	μB/cell

An optimized crystal structure of La4ScAg3, computed with PBE.

```
8
Lattice="3.7275 0.0000 0.0000 0.0000 5.5171 0.0000 0.0000 0.0000 11.1124" Properties=species:S:1:pos:R:3 pbc="T T T"
La 0.0000 0.0000 0.0000
La 0.0000 0.0000 5.5562
La 0.0000 2.7586 2.6700
La 0.0000 2.7586 8.4425
Sc 1.8637 2.7586 5.5562
Ag 1.8637 0.0000 2.8990
Ag 1.8637 0.0000 8.2135
Ag 1.8637 2.7586 0.0000
```

Summary:
formation energy from the elements	-0.157	eV per atom
space-group type	Pmmm, No. 47
theoretical density	6715	kg/m³
size of the total moment	0.24	μB/cell